[1]
Here is an optimized crystal structure of TbBiSe from the Alexandria database. Energies are from PBE-GGA.

POSCAR file:
```
TbBiSe
1.0
-1.873 1.873 5.937
1.873 -1.873 5.937
1.873 1.873 -5.937
Tb Bi Se
1 1 1
Direct
0.000 0.000 0.000
0.306 0.306 0.000
0.593 0.593 0.000
```

Computed properties:
The value obtained for the total energy is -15.007 eV/cell. Its density of states at the Fermi level is 0.74 states/eV/atom. As for the total magnetization: 0.00 μB/cell. The uncorrected formation energy comes out at -1.00 eV/atom.

---

[2]
Here is an optimized crystal structure of ZnMoW2 from the Alexandria database. Energies are from PBE-GGA.

POSCAR file:
```
ZnMoW2
1.0
3.908 0.000 0.000
0.000 3.908 0.000
0.000 0.000 4.059
Zn Mo W
1 1 2
Direct
0.000 0.000 0.000
0.500 0.500 0.000
0.000 0.500 0.500
0.500 0.000 0.500
```

Computed properties:
The value obtained for the total energy is -36.987 eV/cell. Its density of states at the Fermi level is 0.54 states/eV/atom. As for the total magnetization: 0.00 μB/cell.